(1)
A plane-wave DFT calculation with GGA-PBE was carried out for crystalline Er3HfSe6 at its relaxed geometry.

## Properties
**Final energy**: -6.07 eV per atom
**Crystal system**: trigonal
**Formation energy (no corrections)**: -1615 meV/atom
**Total magnetization**: 0.69 Bohr magnetons per cell
**Space-group type**: R-3, No. 148

Cell and atoms, written as POSCAR:
```
Er3HfSe6
1.0
5.853 3.379 4.629
-5.853 3.379 4.629
0.000 -6.758 4.629
Er Hf Se
6 2 12
direct
0.080 0.747 0.588
0.253 0.412 0.920
0.412 0.920 0.253
0.588 0.080 0.747
0.747 0.588 0.080
0.920 0.253 0.412
0.000 0.000 0.000
0.500 0.500 0.500
0.047 0.688 0.919
0.081 0.953 0.312
0.192 0.412 0.575
0.312 0.081 0.953
0.412 0.575 0.192
0.425 0.808 0.588
0.575 0.192 0.412
0.588 0.425 0.808
0.688 0.919 0.047
0.808 0.588 0.425
0.919 0.047 0.688
0.953 0.312 0.081
```

(2)
A plane-wave DFT calculation with GGA-PBE was carried out for crystalline BaSrPrNbO6 at its relaxed geometry.

## Properties
**Final energy**: -7.76 eV per atom
**Crystal system**: triclinic
**Formation energy (no corrections)**: -2939 meV/atom
**Total magnetization**: 0.00 Bohr magnetons per cell
**Polymorph energy (0 for the lowest one)**: 0 meV per atom
**Space-group type**: P-1, No. 2

Cell and atoms, written as POSCAR:
```
BaSrPrNbO6
1.0
6.060 0.000 0.000
0.019 6.125 0.000
0.080 0.057 8.606
Ba Sr Pr Nb O
2 2 2 2 12
direct
0.007 0.029 0.250
0.993 0.971 0.750
0.490 0.536 0.249
0.510 0.464 0.751
0.000 0.500 0.000
0.500 0.000 0.500
0.000 0.500 0.500
0.500 0.000 0.000
0.091 0.504 0.728
0.197 0.762 0.460
0.232 0.807 0.030
0.263 0.304 0.448
0.314 0.272 0.051
0.431 0.044 0.771
0.569 0.956 0.229
0.686 0.728 0.949
0.737 0.696 0.552
0.768 0.193 0.970
0.803 0.238 0.540
0.909 0.496 0.272
```

(3)
A plane-wave DFT calculation with GGA-PBE was carried out for crystalline Ca12Au3O5 at its relaxed geometry.

## Properties
**Final energy**: -4.54 eV per atom
**Crystal system**: cubic
**Formation energy (no corrections)**: -1605 meV/atom
**Total magnetization**: 0.00 Bohr magnetons per cell
**Space-group type**: Ia-3d, No. 230

Cell and atoms, written as POSCAR:
```
Ca12Au3O5
1.0
-7.812 7.812 7.812
7.812 -7.812 7.812
7.812 7.812 -7.812
Ca Au O
48 12 20
direct
0.015 0.200 0.118
0.015 0.316 0.898
0.082 0.700 0.684
0.082 0.882 0.398
0.102 0.618 0.418
0.102 0.985 0.684
0.118 0.015 0.200
0.118 0.602 0.918
0.184 0.200 0.582
0.184 0.485 0.602
0.200 0.118 0.015
0.200 0.582 0.184
0.300 0.316 0.918
0.300 0.485 0.382
0.316 0.898 0.015
0.316 0.918 0.300
0.382 0.300 0.485
0.382 0.582 0.898
0.398 0.082 0.882
0.398 0.816 0.515
0.418 0.102 0.618
0.418 0.816 0.800
0.485 0.382 0.300
0.485 0.602 0.184
0.515 0.398 0.816
0.515 0.618 0.700
0.582 0.184 0.200
0.582 0.898 0.382
0.602 0.184 0.485
0.602 0.918 0.118
0.618 0.418 0.102
0.618 0.700 0.515
0.684 0.082 0.700
0.684 0.102 0.985
0.700 0.515 0.618
0.700 0.684 0.082
0.800 0.418 0.816
0.800 0.882 0.985
0.816 0.515 0.398
0.816 0.800 0.418
0.882 0.398 0.082
0.882 0.985 0.800
0.898 0.015 0.316
0.898 0.382 0.582
0.918 0.118 0.602
0.918 0.300 0.316
0.985 0.684 0.102
0.985 0.800 0.882
0.125 0.250 0.375
0.125 0.375 0.750
0.250 0.375 0.125
0.250 0.875 0.625
0.375 0.125 0.250
0.375 0.750 0.125
0.625 0.250 0.875
0.625 0.875 0.750
0.750 0.125 0.375
0.750 0.625 0.875
0.875 0.625 0.250
0.875 0.750 0.625
0.000 0.000 0.000
0.000 0.000 0.500
0.000 0.500 0.000
0.000 0.500 0.500
0.125 0.750 0.875
0.125 0.875 0.250
0.250 0.125 0.875
0.250 0.625 0.375
0.375 0.250 0.625
0.375 0.625 0.750
0.500 0.000 0.000
0.500 0.000 0.500
0.500 0.500 0.000
0.500 0.500 0.500
0.625 0.375 0.250
0.625 0.750 0.375
0.750 0.375 0.625
0.750 0.875 0.125
0.875 0.125 0.750
0.875 0.250 0.125
```

(4)
A plane-wave DFT calculation with GGA-PBE was carried out for crystalline TaAlO4 at its relaxed geometry.

## Properties
**Final energy**: -7.90 eV per atom
**Crystal system**: tetragonal
**Formation energy (no corrections)**: -1997 meV/atom
**Total magnetization**: 0.00 Bohr magnetons per cell
**Space-group type**: P4/mmm, No. 123

Cell and atoms, written as POSCAR:
```
TaAlO4
1.0
5.234 0.000 0.000
0.000 5.234 0.000
0.000 0.000 3.438
Ta Al O
1 1 4
direct
0.000 0.000 0.000
0.500 0.500 0.000
0.260 0.260 0.000
0.260 0.740 0.000
0.740 0.260 0.000
0.740 0.740 0.000
```

(5)
A plane-wave DFT calculation with GGA-PBE was carried out for crystalline Tb2SmY3Bi6 at its relaxed geometry.

## Properties
**Final energy**: -5.62 eV per atom
**ΔE_f**: -0.896 eV/atom
**Crystal system**: monoclinic
**Total magnetization**: 0.00 Bohr magnetons per cell
**Space-group type**: C2/m, No. 12

Cell and atoms, written as POSCAR:
```
Tb2SmY3Bi6
1.0
3.898 -6.752 0.000
3.898 6.752 0.000
-2.597 0.000 7.341
Tb Sm Y Bi
2 1 3 6
direct
0.167 0.833 0.000
0.833 0.167 0.000
0.500 0.500 0.000
0.000 0.000 0.500
0.334 0.666 0.500
0.666 0.334 0.500
0.080 0.416 0.748
0.248 0.248 0.251
0.416 0.080 0.748
0.584 0.920 0.252
0.752 0.752 0.749
0.920 0.584 0.252
```

(6)
A plane-wave DFT calculation with GGA-PBE was carried out for crystalline Ca2CeThP4 at its relaxed geometry.

## Properties
**Final energy**: -6.23 eV per atom
**ΔE_f**: -1.358 eV/atom
**Crystal system**: monoclinic
**Total magnetization**: 0.00 Bohr magnetons per cell
**Space-group type**: P2/m, No. 10

Cell and atoms, written as POSCAR:
```
Ca2CeThP4
1.0
7.105 0.000 0.000
0.000 4.173 0.000
-2.453 0.000 6.797
Ca Ce Th P
2 1 1 4
direct
0.000 0.000 0.000
0.000 0.500 0.500
0.500 0.000 0.500
0.500 0.500 0.000
0.263 0.000 0.751
0.266 0.500 0.259
0.734 0.500 0.741
0.737 0.000 0.249
```

(7)
A plane-wave DFT calculation with GGA-PBE was carried out for crystalline AlFeOs2 at its relaxed geometry.

## Properties
**Final energy**: -8.60 eV per atom
**ΔE_f**: 0.069 eV/atom
**Crystal system**: cubic
**Total magnetization**: 2.33 Bohr magnetons per cell
**Space-group type**: F-43m, No. 216

Cell and atoms, written as POSCAR:
```
AlFeOs2
1.0
0.000 3.014 3.014
3.014 0.000 3.014
3.014 3.014 0.000
Al Fe Os
1 1 2
direct
0.000 0.000 0.000
0.750 0.750 0.750
0.250 0.250 0.250
0.500 0.500 0.500
```

(8)
A plane-wave DFT calculation with GGA-PBE was carried out for crystalline Nb2TcW at its relaxed geometry.

## Properties
**Final energy**: -10.15 eV per atom
**ΔE_f**: 0.716 eV/atom
**Crystal system**: orthorhombic
**Total magnetization**: 0.00 Bohr magnetons per cell
**Space-group type**: Immm, No. 71

Cell and atoms, written as POSCAR:
```
Nb2TcW
1.0
-1.505 2.262 5.262
1.505 -2.262 5.262
1.505 2.262 -5.262
Nb Tc W
2 1 1
direct
0.242 0.242 0.000
0.758 0.758 0.000
0.000 0.000 0.000
0.500 0.500 0.000
```

(9)
A plane-wave DFT calculation with GGA-PBE was carried out for crystalline SiSbRh2 at its relaxed geometry.

## Properties
**Final energy**: -6.50 eV per atom
**Crystal system**: tetragonal
**Formation energy (no corrections)**: -437 meV/atom
**Total magnetization**: 0.00 Bohr magnetons per cell
**Polymorph energy (0 for the lowest one)**: 58 meV per atom
**Space-group type**: P4mm, No. 99

Cell and atoms, written as POSCAR:
```
SiSbRh2
1.0
3.473 0.000 0.000
0.000 3.473 0.000
0.000 0.000 5.367
Si Sb Rh
1 1 2
direct
0.000 0.000 0.000
0.500 0.500 0.641
0.000 0.000 0.462
0.500 0.500 0.123
```

(10)
A plane-wave DFT calculation with GGA-PBE was carried out for crystalline LaAg4Sb at its relaxed geometry.

## Properties
**Final energy**: -3.64 eV per atom
**Crystal system**: cubic
**Formation energy (no corrections)**: -229 meV/atom
**Total magnetization**: 0.00 Bohr magnetons per cell
**Space-group type**: F-43m, No. 216

Cell and atoms, written as POSCAR:
```
LaAg4Sb
1.0
0.000 4.061 4.061
4.061 0.000 4.061
4.061 4.061 0.000
La Ag Sb
1 4 1
direct
0.000 0.000 0.000
0.375 0.375 0.375
0.375 0.375 0.874
0.375 0.874 0.375
0.874 0.375 0.375
0.750 0.750 0.750
```